A relaxed structure of In2Hg2F. Source: the Alexandria database, functional PBE.

Geometry as extended XYZ:
```
10
Lattice="6.9596 0.0000 0.0000 0.0000 6.9596 0.0000 0.0000 0.0000 5.2467" Properties=species:S:1:pos:R:3 pbc="T T T"
Hg 4.6153 5.8240 2.6233
Hg 1.1355 4.6153 2.6233
Hg 2.3443 1.1355 2.6233
Hg 5.8240 2.3443 2.6233
In 5.7448 4.6945 0.0000
In 1.2147 2.2650 0.0000
In 2.2650 5.7448 0.0000
In 4.6945 1.2147 0.0000
F 3.4798 3.4798 0.0000
F 0.0000 0.0000 0.0000
```



A relaxed structure of InHg2F6. Source: the Alexandria database, functional PBE.

Geometry as extended XYZ:
```
18
Lattice="5.4150 0.0000 0.0000 0.0000 5.4150 0.0000 0.0000 0.0000 10.7846" Properties=species:S:1:pos:R:3 pbc="T T T"
Hg 0.0000 0.0000 3.6316
Hg 0.0000 0.0000 7.1530
Hg 2.7075 2.7075 9.0240
Hg 2.7075 2.7075 1.7607
F 0.9992 4.4158 9.1771
F 0.9992 4.4158 1.6075
F 1.5025 1.5025 0.0000
F 3.7067 3.7067 6.9998
F 4.4158 0.9992 9.1771
F 1.2050 4.2100 5.3923
F 3.7067 3.7067 3.7848
F 1.7083 1.7083 3.7848
F 1.7083 1.7083 6.9998
F 3.9124 3.9124 0.0000
F 4.2100 1.2050 5.3923
F 4.4158 0.9992 1.6075
In 2.7075 2.7075 5.3923
In 0.0000 0.0000 0.0000
```

Output
Energy above the most stable polymorph in this dataset: 0 kJ/mol of formula units



A relaxed structure of In2HgF. Source: the Alexandria database, functional PBE.

Geometry as extended XYZ:
```
4
Lattice="4.4787 0.0000 0.0000 2.2394 3.8787 0.0000 2.2394 1.2929 7.2902" Properties=species:S:1:pos:R:3 pbc="T T T"
F 0.0000 0.0000 0.0000
In 2.2394 1.2929 5.0990
In 6.7181 3.8787 2.1912
Hg 4.4787 2.5858 3.6451
```

Output
Energy above the most stable polymorph in this dataset: 12 kJ/mol of formula units



A relaxed structure of In12Hg3F5. Source: the Alexandria database, functional PBE.

Geometry as extended XYZ:
```
80
Lattice="14.0727 0.0000 0.0000 -4.6909 13.2679 0.0000 -4.6909 -6.6339 11.4903" Properties=species:S:1:pos:R:3 pbc="T T T"
In 7.0880 11.9962 0.3005
In 10.1178 6.5257 2.0898
In -1.2267 4.5965 10.2387
In -2.3971 2.9414 6.9968
In -1.9111 -0.7304 5.4447
In 9.3302 1.2717 0.3005
In -5.8096 3.3822 8.1354
In -1.1187 7.8483 4.6065
In 4.6393 2.4209 6.6963
In 5.4269 1.8639 10.5392
In 7.4708 -1.0330 2.3903
In 6.3004 6.7422 2.0898
In -1.2267 -3.3822 8.1354
In 5.9176 10.0161 3.3549
In 5.1253 5.6009 9.1001
In -2.3971 -5.3622 11.1898
In -5.4269 0.1083 9.4006
In -0.4344 1.0330 2.3903
In 3.4642 5.4196 4.6065
In 5.8096 -1.2143 6.8838
In 1.6095 1.7556 10.3517
In 8.9474 0.7304 5.4447
In 2.2938 9.0548 4.7941
In 4.2565 -1.7634 3.6554
In 8.2631 -4.5965 10.2387
In 0.4344 8.3974 7.8349
In -3.5722 11.2305 1.2516
In -0.7360 4.7700 0.9511
In 1.9111 4.8705 7.8349
In 2.7798 1.7634 3.6554
In -2.7798 7.6670 9.1001
In 10.5006 3.2518 3.3549
In -4.7425 9.5753 4.4936
In 1.2267 1.2143 6.8838
In 5.4269 -1.7556 10.3517
In 2.3971 -2.4209 6.6963
In -4.6393 5.3622 11.1898
In 0.0516 4.2131 4.7941
In 9.4334 -2.9414 6.9968
In 5.9176 2.0374 1.2516
In 1.6095 -1.8639 10.5392
In -4.2565 5.9035 6.0457
In -1.6095 -0.1083 9.4006
In 3.0814 4.8783 1.1387
In 3.0814 8.4979 0.9511
In 7.0880 3.6926 4.4936
In 6.6020 7.3644 6.0457
In -0.7360 8.3896 1.1387
Hg -3.5182 -2.4877 10.0540
Hg 10.5545 0.0000 2.8726
Hg 1.1727 -0.8292 4.3089
Hg 3.5182 7.4632 7.1815
Hg -5.8636 6.6339 8.6178
Hg 8.2091 9.1217 1.4363
Hg -3.5182 2.4877 10.0540
Hg 8.2091 4.1462 1.4363
Hg 3.5182 0.0000 8.6178
Hg 1.1727 6.6339 2.8726
Hg -1.1727 5.8047 7.1815
Hg 5.8636 0.8292 4.3089
F 8.2091 -0.8292 7.1815
F 7.0364 0.0000 0.0000
F 0.0000 0.0000 0.0000
F -1.1727 10.7802 1.4363
F 4.6909 6.6339 0.0000
F 4.6909 -3.3170 5.7452
F -1.1727 3.3170 2.8726
F 3.5182 2.4877 1.4363
F -1.1727 0.8292 7.1815
F 2.3455 3.3170 5.7452
F -2.3455 -3.3170 5.7452
F -2.3455 6.6339 0.0000
F 5.8636 3.3170 8.6178
F 5.8636 -4.1462 10.0540
F 5.8636 5.8047 4.3089
F 3.5182 9.9509 2.8726
F 1.1727 -3.3170 8.6178
F -3.5182 7.4632 4.3089
F -4.6909 3.3170 5.7452
F 1.1727 4.1462 10.0540
```



A relaxed structure of InHgF6. Source: the Alexandria database, functional PBE.

Geometry as extended XYZ:
```
8
Lattice="-0.8568 0.2958 -3.2569 -4.9460 -3.9262 0.9446 -1.2888 6.1885 0.9010" Properties=species:S:1:pos:R:3 pbc="T T T"
F -1.6128 1.5382 0.5640
F -5.9439 1.2044 -0.0816
F -3.6703 -0.3980 0.9294
F -4.8477 -2.3217 -0.6902
F -4.0128 2.4090 1.2744
F -1.7517 -0.3167 -1.3225
In -4.8568 -3.6793 0.9435
Hg -3.6141 1.0902 -0.7048
```



A relaxed structure of InHg2F8. Source: the Alexandria database, functional PBE.

Geometry as extended XYZ:
```
11
Lattice="5.1444 -0.4682 -0.3553 -0.7001 5.9575 -0.1708 -0.7001 1.4396 5.7835" Properties=species:S:1:pos:R:3 pbc="T T T"
F -0.1548 6.0516 4.5917
F 0.6345 3.1327 2.3770
F 0.5251 5.9662 1.5531
F 3.2192 0.9627 3.7042
F 3.2192 3.8267 -0.0702
F 3.8990 0.8773 0.6657
F 0.5251 3.1022 5.3276
F 3.1097 3.7962 2.8804
Hg 2.3872 2.0992 1.5928
Hg 1.3571 4.8297 3.6646
In 0.0000 0.0000 0.0000
```

Output
Energy above the most stable polymorph in this dataset: 0 kJ/mol of formula units



A relaxed structure of InHgF4. Source: the Alexandria database, functional PBE.

Geometry as extended XYZ:
```
12
Lattice="4.1774 0.0000 0.0000 -2.0887 6.8823 1.8287 0.0000 -0.3440 6.7884" Properties=species:S:1:pos:R:3 pbc="T T T"
F 2.0887 5.5002 5.5548
F 0.0000 1.1057 0.5105
F 0.0000 2.5387 5.3848
F 2.0887 3.9995 3.2323
F 2.0887 5.4325 8.1066
F 2.0887 0.4631 5.1685
F 0.0000 6.0752 3.4486
F 0.0000 1.0381 3.0623
In 2.0887 6.1587 3.5015
In 0.0000 0.3795 5.1156
Hg 2.0887 3.1498 6.7109
Hg 0.0000 3.3885 1.9062
```



A relaxed structure of InHg6F12. Source: the Alexandria database, functional PBE.

Geometry as extended XYZ:
```
19
Lattice="6.9956 -0.0051 -0.0061 -1.0656 6.9140 -0.0061 -1.0656 -1.2415 6.8016" Properties=species:S:1:pos:R:3 pbc="T T T"
Hg 4.8722 1.8473 4.6892
Hg -0.0078 3.8200 2.1001
Hg 1.0874 3.7031 5.8518
Hg 3.4955 5.4652 2.6555
Hg 3.7770 1.9642 0.9375
Hg 1.3689 0.2020 4.1337
F 6.3567 1.9696 0.4820
F 2.7244 1.7694 5.6173
F 3.8812 6.3692 0.2273
F -0.8429 6.3018 2.0240
F 3.5284 0.6695 2.8720
F -1.4924 3.6977 6.3073
F 2.1400 3.8979 1.1720
F 5.7072 -0.6345 4.7653
F 0.9831 -0.7019 6.5620
F 4.7375 3.4828 2.7447
F 1.3359 4.9978 3.9172
F 0.1269 2.1845 4.0446
In 0.0000 0.0000 0.0000
```



A relaxed structure of InHg2F6. Source: the Alexandria database, functional PBE.

Geometry as extended XYZ:
```
18
Lattice="-5.3585 1.4161 -2.0556 1.6737 -1.3993 -5.3267 -0.0363 -9.0437 2.3643" Properties=species:S:1:pos:R:3 pbc="T T T"
F -2.6546 -1.6255 -2.6995
F -0.3722 -2.0018 -0.4088
F -2.9510 -0.5627 -5.4445
F 0.2945 -5.1964 -0.0975
F -2.3848 -4.4884 -1.1253
F -0.2718 -1.2707 -4.4167
F -3.4493 -7.7562 -0.6013
F -0.7701 -8.4642 0.4265
F -4.0156 -3.8305 -4.9206
F -1.3363 -4.5385 -3.8928
F -3.3489 -7.0251 -4.6093
F -1.0665 -7.4014 -2.3186
In 0.0000 0.0000 0.0000
In -1.8424 0.0084 -3.6912
Hg -3.6112 -2.3317 -0.6923
Hg -3.5344 -5.3641 -2.9816
Hg -0.1098 -6.6952 -4.3258
Hg -0.1867 -3.6628 -2.0364
```

Output
Energy above the most stable polymorph in this dataset: 20 kJ/mol of formula units



A relaxed structure of InHgF3. Source: the Alexandria database, functional PBE.

Geometry as extended XYZ:
```
10
Lattice="5.8258 -0.1555 -0.7897 -3.0805 4.9472 -0.7897 0.1665 0.2905 8.9259" Properties=species:S:1:pos:R:3 pbc="T T T"
Hg -0.7745 3.8189 3.6733
Hg 3.6862 1.2633 3.6733
F 0.3184 0.5557 7.6324
F 0.1718 4.3139 6.7302
F 2.7399 0.7684 0.6164
F 2.5934 4.5265 -0.2859
F 3.6346 2.3299 6.7302
F -0.7229 2.7523 0.6164
In -1.6196 4.1102 -0.7897
In 4.3649 0.6815 -0.7897
```



A relaxed structure of In2HgF2. Source: the Alexandria database, functional PBE.

Geometry as extended XYZ:
```
5
Lattice="4.0616 0.0000 0.0000 0.0000 4.0616 0.0000 2.0308 2.0308 7.1923" Properties=species:S:1:pos:R:3 pbc="T T T"
In 2.0308 2.0308 2.1684
In 4.0616 4.0616 5.0239
F 4.0616 2.0308 3.5962
F 2.0308 4.0616 3.5962
Hg 0.0000 0.0000 0.0000
```

Output
Energy above the most stable polymorph in this dataset: 0 kJ/mol of formula units



A relaxed structure of In2HgF. Source: the Alexandria database, functional PBE.

Geometry as extended XYZ:
```
4
Lattice="-0.6550 2.7800 1.8633 -3.3450 -0.6050 -0.2732 0.2508 -4.3726 6.6120" Properties=species:S:1:pos:R:3 pbc="T T T"
F -2.0000 1.0875 0.7951
In 0.2004 -3.4948 5.2846
In 0.0503 -0.8778 1.3274
Hg -1.8746 -1.0988 4.1011
```

Output
Energy above the most stable polymorph in this dataset: 22 kJ/mol of formula units



A relaxed structure of In3HgF. Source: the Alexandria database, functional PBE.

Geometry as extended XYZ:
```
5
Lattice="5.6143 0.0000 0.0000 0.0000 5.6143 0.0000 0.0000 0.0000 5.6143" Properties=species:S:1:pos:R:3 pbc="T T T"
F 2.8072 2.8072 2.8072
In 0.0000 0.0000 2.8072
In 2.8072 0.0000 0.0000
In 0.0000 2.8072 0.0000
Hg 0.0000 0.0000 0.0000
```

Output
Energy above the most stable polymorph in this dataset: 204 kJ/mol of formula units



A relaxed structure of In3HgF3. Source: the Alexandria database, functional PBE.

Geometry as extended XYZ:
```
14
Lattice="7.3459 0.0000 0.0000 0.0000 7.3459 0.0000 0.0000 0.0000 7.3459" Properties=species:S:1:pos:R:3 pbc="T T T"
Hg 3.6730 3.6730 3.6730
Hg 0.0000 0.0000 0.0000
F 3.6730 1.8365 0.0000
F 0.0000 3.6730 5.5095
F 5.5095 0.0000 3.6730
F 1.8365 0.0000 3.6730
F 0.0000 3.6730 1.8365
F 3.6730 5.5095 0.0000
In 5.5095 3.6730 0.0000
In 0.0000 5.5095 3.6730
In 3.6730 0.0000 1.8365
In 3.6730 0.0000 5.5095
In 1.8365 3.6730 0.0000
In 0.0000 1.8365 3.6730
```

Output
Energy above the most stable polymorph in this dataset: 97 kJ/mol of formula units



A relaxed structure of InHgF5. Source: the Alexandria database, functional PBE.

Geometry as extended XYZ:
```
14
Lattice="5.4433 -0.0881 2.0664 1.1269 5.3261 2.0664 -0.0881 -0.0703 8.2668" Properties=species:S:1:pos:R:3 pbc="T T T"
F 1.7839 0.9971 4.0768
F 5.1146 0.2790 4.1331
F 1.3674 4.8888 8.2665
F 4.6981 4.1706 8.3228
F 3.8966 1.3047 10.0700
F 4.2979 1.6246 6.4630
F 5.1566 3.6860 4.1894
F 2.1841 3.5431 5.9366
F 1.3254 1.4817 8.2102
F 2.5854 3.8631 2.3296
In 0.0000 0.0000 0.0000
In -0.0441 -0.0351 4.1334
Hg 3.3962 2.4345 4.1331
Hg 3.0859 2.7333 8.2665
```



A relaxed structure of In3HgF. Source: the Alexandria database, functional PBE.

Geometry as extended XYZ:
```
5
Lattice="5.1045 0.0000 0.0000 0.0000 5.1045 0.0000 0.0000 0.0000 5.1045" Properties=species:S:1:pos:R:3 pbc="T T T"
Hg 2.5523 2.5523 2.5523
F 0.0000 0.0000 0.0000
In 0.0000 0.0000 2.5523
In 2.5523 0.0000 0.0000
In 0.0000 2.5523 0.0000
```

Output
Energy above the most stable polymorph in this dataset: 0 kJ/mol of formula units



A relaxed structure of In3HgF3. Source: the Alexandria database, functional PBE.

Geometry as extended XYZ:
```
14
Lattice="4.4204 0.0000 0.0000 0.0000 8.5792 -4.0664 0.0000 0.7668 9.1334" Properties=species:S:1:pos:R:3 pbc="T T T"
In 1.1051 8.6953 -2.4379
In 1.1051 3.4029 7.0504
In 3.3153 3.2874 1.1361
In 3.3153 5.9432 -1.9835
In 1.1051 6.0586 3.9308
In 3.3153 0.6507 7.5048
F 1.1051 2.7315 0.2462
F 3.3153 0.8514 0.6269
F 3.3153 6.6145 4.8206
F 3.3153 3.6479 -1.3429
F 1.1051 8.4947 4.4402
F 1.1051 5.6980 6.4099
Hg 3.3153 6.7200 1.3084
Hg 1.1051 2.6260 3.7584
```

Output
Energy above the most stable polymorph in this dataset: 0 kJ/mol of formula units



A relaxed structure of InHg2F8. Source: the Alexandria database, functional PBE.

Geometry as extended XYZ:
```
11
Lattice="-2.6330 -1.8243 -3.0452 4.2473 -5.4308 -0.4185 -5.2146 -0.0335 4.5284" Properties=species:S:1:pos:R:3 pbc="T T T"
In -5.2146 -0.0335 4.5284
F 0.4071 -4.1074 0.4360
F -4.4773 -1.3063 3.0227
F -1.4816 -2.9815 -1.7164
F -1.5939 -1.2759 0.5115
F -2.1187 -4.3071 2.7811
F -4.0073 -3.1813 0.6286
F 0.8771 -5.9823 -1.9580
F -2.0064 -6.0127 0.5531
Hg -2.6875 -2.2668 2.1550
Hg -0.9127 -5.0219 -1.0904
```

Output
Energy above the most stable polymorph in this dataset: 49 kJ/mol of formula units



A relaxed structure of In2HgF2. Source: the Alexandria database, functional PBE.

Geometry as extended XYZ:
```
5
Lattice="-0.6807 3.7814 -0.5894 -1.8306 -0.8475 -3.3228 -6.3219 -0.5724 3.6289" Properties=species:S:1:pos:R:3 pbc="T T T"
In -3.0582 1.3038 -0.9214
In -5.7750 1.0578 0.6381
F -3.5013 1.6045 1.5198
F -4.0762 -0.7099 0.1531
Hg 0.0000 0.0000 0.0000
```

Output
Energy above the most stable polymorph in this dataset: 52 kJ/mol of formula units



Number 1: ΔE_f (raw) -0.594 eV per atom, calculated density 8.5 g/cm3. Number 2: ΔE_f (raw) -1.787 eV per atom, calculated density 6.6 g/cm3. Number 3: ΔE_f (raw) -0.696 eV per atom, calculated density 5.9 g/cm3. Number 4: ΔE_f (raw) -0.646 eV per atom, calculated density 6.4 g/cm3. Number 5: ΔE_f (raw) -1.645 eV per atom, calculated density 5.7 g/cm3. Number 6: ΔE_f (raw) -1.658 eV per atom, calculated density 6.3 g/cm3. Number 7: ΔE_f (raw) -2.014 eV per atom, calculated density 6.6 g/cm3. Number 8: ΔE_f (raw) -1.501 eV per atom, calculated density 7.8 g/cm3. Number 9: ΔE_f (raw) -1.764 eV per atom, calculated density 6.9 g/cm3. Number 10: ΔE_f (raw) -1.939 eV per atom, calculated density 4.8 g/cm3. Number 11: ΔE_f (raw) -1.365 eV per atom, calculated density 6.6 g/cm3. Number 12: ΔE_f (raw) -0.669 eV per atom, calculated density 8.1 g/cm3. Number 13: ΔE_f (raw) -0.056 eV per atom, calculated density 5.3 g/cm3. Number 14: ΔE_f (raw) -1.294 eV per atom, calculated density 5.0 g/cm3. Number 15: ΔE_f (raw) -2.026 eV per atom, calculated density 5.6 g/cm3. Number 16: ΔE_f (raw) -0.480 eV per atom, calculated density 7.0 g/cm3. Number 17: ΔE_f (raw) -1.437 eV per atom, calculated density 5.6 g/cm3. Number 18: ΔE_f (raw) -1.612 eV per atom, calculated density 6.1 g/cm3. Number 19: ΔE_f (raw) -1.258 eV per atom, calculated density 7.0 g/cm3.